Arrangement P

Computed, not measured: a relaxed Rb2Tl2Pd3 crystal at the PBE level of DFT.

Unit cell a=4.7520 b=6.7264 c=7.6847 alpha=123.28 beta=90.00 gamma=110.69
Closest atoms and distances in Å follow each position.
Element x y z (fractional)
1 Pd 0.5752 0.1504 0.4184  2 Pd 2.77-2.82, 3 Tl 2.90-2.92
2 Pd 0.4248 0.8496 0.5816  2 Pd 2.77-2.82, 3 Tl 2.90-2.92
3 Rb 0.8314 0.6627 0.2044  5 Pd 3.38-3.49, 2 Rb 3.49, 4 Tl 3.56-3.75
4 Tl 0.8611 0.7222 0.7191  5 Pd 2.90-2.99
5 Rb 0.1686 0.3373 0.7956  5 Pd 3.38-3.49, 2 Rb 3.49, 4 Tl 3.56-3.75
6 Pd 0.5000 0.0000 0.0000  2 Pd 2.77, 4 Tl 2.99
7 Tl 0.1389 0.2778 0.2809  5 Pd 2.90-2.99

---

Arrangement Q

Computed, not measured: a relaxed Rb2Tl2Pd3 crystal at the PBE level of DFT.

Unit cell a=4.5954 b=7.0344 c=7.3652 alpha=91.82 beta=71.82 gamma=70.94
Closest atoms and distances in Å follow each position.
Element x y z (fractional)
1 Tl 0.1849 0.8596 0.7706  5 Pd 2.79-2.92
2 Pd 0.3015 0.0015 0.3954  3 Pd 2.73-2.77, 3 Tl 2.79-2.92
3 Rb 0.0812 0.5949 0.2427  3 Pd 3.40-3.59, 3 Tl 3.64-3.79
4 Pd 0.5000 0.0000 0.0000  2 Pd 2.77, 4 Tl 2.88
5 Pd 0.6985 0.9985 0.6046  3 Pd 2.73-2.77, 3 Tl 2.79-2.92
6 Rb 0.9188 0.4051 0.7573  3 Pd 3.40-3.59, 3 Tl 3.64-3.79
7 Tl 0.8151 0.1404 0.2294  5 Pd 2.79-2.92

---

In order of decreasing stability: arrangement Q, arrangement P.

---

Arrangement P

Computed, not measured: a relaxed RbTl8Pd2 crystal at the PBE level of DFT.

Unit cell a=5.5302 b=7.9321 c=7.9321 alpha=106.70 beta=97.38 gamma=97.38
Closest atoms and distances in Å follow each position.
Element x y z (fractional)
1 Pd 0.0000 0.7031 0.2969  8 Tl 2.78-3.07
2 Tl 0.7163 0.3976 0.3976  2 Pd 3.07, 4 Tl 3.31-3.39
3 Rb 0.5000 0.0000 0.0000  12 Tl 3.52-3.88
4 Tl 0.1022 0.3462 0.0859  2 Pd 2.92-3.01
5 Tl 0.5000 0.2766 0.7234  2 Pd 2.78
6 Tl 0.8978 0.9141 0.6538  2 Pd 2.92-3.01
7 Tl 0.5000 0.7234 0.2766  2 Pd 2.78
8 Tl 0.1022 0.0859 0.3462  2 Pd 2.92-3.01
9 Pd 0.0000 0.2969 0.7031  8 Tl 2.78-3.07
10 Tl 0.2837 0.6024 0.6024  2 Pd 3.07, 4 Tl 3.31-3.39
11 Tl 0.8978 0.6538 0.9141  2 Pd 2.92-3.01

---

Arrangement Q

Computed, not measured: a relaxed RbTl8Pd2 crystal at the PBE level of DFT.

Unit cell a=6.6094 b=6.6094 c=9.6250 alpha=90.00 beta=90.00 gamma=90.00
Closest atoms and distances in Å follow each position.
Element x y z (fractional)
1 Tl 0.2480 0.2480 0.1800  2 Pd 2.91
2 Pd 0.5000 0.0000 0.0000  8 Tl 2.91
3 Tl 0.7520 0.2480 0.1800  2 Pd 2.91
4 Tl 0.7520 0.7520 0.8200  2 Pd 2.91
5 Tl 0.2480 0.7520 0.8200  2 Pd 2.91
6 Pd 0.0000 0.5000 0.0000  8 Tl 2.91
7 Tl 0.7520 0.2480 0.8200  2 Pd 2.91
8 Tl 0.2480 0.7520 0.1800  2 Pd 2.91
9 Tl 0.2480 0.2480 0.8200  2 Pd 2.91
10 Rb 0.5000 0.5000 0.5000  8 Tl 3.88
11 Tl 0.7520 0.7520 0.1800  2 Pd 2.91

---

In order of decreasing stability: arrangement P, arrangement Q.

---

Arrangement P

Computed, not measured: a relaxed Rb3Tl4Pd2 crystal at the PBE level of DFT.

Unit cell a=7.7797 b=9.9897 c=9.9897 alpha=66.58 beta=74.89 gamma=74.89
Closest atoms and distances in Å follow each position.
Element x y z (fractional)
1 Rb 0.3661 0.2295 0.0071  3 Pd 3.58-3.93, 4 Tl 3.76-4.00
2 Pd 0.5870 0.8616 0.5823  4 Tl 2.73-2.84, 1 Pd 2.79
3 Rb 0.7500 0.5454 0.4546  2 Pd 3.67, 8 Tl 3.69-4.09, 2 Rb 4.02
4 Tl 0.5585 0.3812 0.2230  2 Pd 2.73-2.74
5 Tl 0.6629 0.1212 0.5885  2 Pd 2.83-2.84
6 Pd 0.0870 0.5823 0.8616  4 Tl 2.73-2.84, 1 Pd 2.79
7 Tl 0.8371 0.4115 0.8788  2 Pd 2.83-2.84
8 Rb 0.6339 0.7705 0.9929  3 Pd 3.58-3.93, 4 Tl 3.76-4.00
9 Tl 0.4415 0.6188 0.7770  2 Pd 2.73-2.74
10 Rb 0.1339 0.9929 0.7705  3 Pd 3.58-3.93, 4 Tl 3.76-4.00
11 Rb 0.8661 0.0071 0.2295  3 Pd 3.58-3.93, 4 Tl 3.76-4.00
12 Rb 0.2500 0.4546 0.5454  2 Pd 3.67, 8 Tl 3.69-4.09, 2 Rb 4.02
13 Tl 0.9415 0.7770 0.6188  2 Pd 2.73-2.74
14 Tl 0.1629 0.5885 0.1212  2 Pd 2.83-2.84
15 Tl 0.0585 0.2230 0.3812  2 Pd 2.73-2.74
16 Tl 0.3371 0.8788 0.4115  2 Pd 2.83-2.84
17 Pd 0.9130 0.4177 0.1384  4 Tl 2.73-2.84, 1 Pd 2.79
18 Pd 0.4130 0.1384 0.4177  4 Tl 2.73-2.84, 1 Pd 2.79

---

Arrangement Q

Computed, not measured: a relaxed Rb3Tl4Pd2 crystal at the PBE level of DFT.

Unit cell a=4.7241 b=7.3012 c=10.3186 alpha=105.94 beta=90.00 gamma=108.88
Closest atoms and distances in Å follow each position.
Element x y z (fractional)
1 Pd 0.6660 0.3320 0.7918  5 Tl 2.80-2.91
2 Tl 0.0894 0.1787 0.6535  2 Pd 2.80
3 Tl 0.9106 0.8213 0.3465  2 Pd 2.80
4 Pd 0.3340 0.6680 0.2082  5 Tl 2.80-2.91
5 Rb 0.3756 0.7512 0.6162  6 Tl 3.68-4.08, 2 Pd 3.89-4.08
6 Rb 0.6244 0.2488 0.3838  6 Tl 3.68-4.08, 2 Pd 3.89-4.08
7 Tl 0.2792 0.5585 0.9138  3 Pd 2.91, 3 Tl 3.16-3.20
8 Rb 0.0000 0.0000 0.0000  8 Tl 3.75-4.20
9 Tl 0.7208 0.4415 0.0862  3 Pd 2.91, 3 Tl 3.16-3.20

---

In order of decreasing stability: arrangement P, arrangement Q.

---

Arrangement P

Computed, not measured: a relaxed RbVPd2 crystal at the PBE level of DFT.

Unit cell a=7.6938 b=7.6938 c=6.4435 alpha=53.34 beta=53.34 gamma=90.00
Closest atoms and distances in Å follow each position.
Element x y z (fractional)
1 Rb 0.7500 0.2500 0.5000  8 Pd 3.35-3.46, 2 V 3.45
2 Rb 0.0000 0.0000 0.0000  8 Pd 3.35-3.46, 2 V 3.45
3 Pd 0.2138 0.6250 0.2500  2 V 2.45
4 V 0.2500 0.7500 0.5000  4 Pd 2.45
5 V 0.5000 0.5000 0.0000  4 Pd 2.45
6 Pd 0.8750 0.7862 0.7500  2 V 2.45
7 Pd 0.5362 0.1250 0.2500  2 V 2.45
8 Pd 0.3750 0.4638 0.7500  2 V 2.45

---

Arrangement Q

Computed, not measured: a relaxed RbVPd2 crystal at the PBE level of DFT.

Unit cell a=3.1415 b=3.1415 c=9.9316 alpha=80.90 beta=80.90 gamma=60.00
Closest atoms and distances in Å follow each position.
Element x y z (fractional)
1 Pd 0.1051 0.1051 0.6846  3 V 2.56
2 Pd 0.8949 0.8949 0.3154  3 V 2.56
3 V 0.5000 0.5000 0.5000  6 Pd 2.56
4 Rb 0.0000 0.0000 0.0000  2 Pd 3.08, 6 Rb 3.14

---

In order of decreasing stability: arrangement Q, arrangement P.

---

Arrangement P

Computed, not measured: a relaxed RbV3Pd crystal at the PBE level of DFT.

Unit cell a=5.0327 b=5.0327 c=5.0327 alpha=90.00 beta=90.00 gamma=90.00
Closest atoms and distances in Å follow each position.
Element x y z (fractional)
1 V 0.0000 0.0000 0.5000  2 Pd 2.52
2 Pd 0.0000 0.0000 0.0000  6 V 2.52
3 Rb 0.5000 0.5000 0.5000  12 V 3.56
4 V 0.5000 0.0000 0.0000  2 Pd 2.52
5 V 0.0000 0.5000 0.0000  2 Pd 2.52

---

Arrangement Q

Computed, not measured: a relaxed RbV3Pd crystal at the PBE level of DFT.

Unit cell a=4.4757 b=4.4757 c=4.4757 alpha=90.00 beta=90.00 gamma=90.00
Closest atoms and distances in Å follow each position.
Element x y z (fractional)
1 V 0.0000 0.0000 0.5000  2 Rb 2.24
2 Rb 0.0000 0.0000 0.0000  6 V 2.24
3 Pd 0.5000 0.5000 0.5000  12 V 3.16
4 V 0.5000 0.0000 0.0000  2 Rb 2.24
5 V 0.0000 0.5000 0.0000  2 Rb 2.24

---

In order of decreasing stability: arrangement P, arrangement Q.

---

Arrangement P

Computed, not measured: a relaxed RbPd3W crystal at the PBE level of DFT.

Unit cell a=4.9900 b=4.9900 c=4.9900 alpha=90.00 beta=90.00 gamma=90.00
Closest atoms and distances in Å follow each position.
Element x y z (fractional)
1 W 0.0000 0.0000 0.0000  6 Pd 2.50
2 Pd 0.5000 0.0000 0.0000  2 W 2.50
3 Rb 0.5000 0.5000 0.5000  12 Pd 3.53
4 Pd 0.0000 0.5000 0.0000  2 W 2.50
5 Pd 0.0000 0.0000 0.5000  2 W 2.50

---

Arrangement Q

Computed, not measured: a relaxed RbPd3W crystal at the PBE level of DFT.

Unit cell a=4.9111 b=4.9111 c=4.9111 alpha=90.00 beta=90.00 gamma=90.00
Closest atoms and distances in Å follow each position.
Element x y z (fractional)
1 Pd 0.0000 0.0000 0.5000  2 Rb 2.46
2 Rb 0.0000 0.0000 0.0000  6 Pd 2.46
3 Pd 0.5000 0.0000 0.0000  2 Rb 2.46
4 W 0.5000 0.5000 0.5000  12 Pd 3.47
5 Pd 0.0000 0.5000 0.0000  2 Rb 2.46

---

In order of decreasing stability: arrangement P, arrangement Q.

---

Arrangement P

Computed, not measured: a relaxed Rb2PdW crystal at the PBE level of DFT.

Unit cell a=5.8336 b=5.8336 c=5.8336 alpha=60.00 beta=60.00 gamma=60.00
Closest atoms and distances in Å follow each position.
Element x y z (fractional)
1 Pd 0.0000 0.0000 0.0000  8 Rb 3.57
2 W 0.5000 0.5000 0.5000  8 Rb 3.57
3 Rb 0.7500 0.7500 0.7500  4 W 3.57, 4 Pd 3.57
4 Rb 0.2500 0.2500 0.2500  4 W 3.57, 4 Pd 3.57

---

Arrangement Q

Computed, not measured: a relaxed Rb2PdW crystal at the PBE level of DFT.

Unit cell a=12.8907 b=12.8907 c=9.4426 alpha=46.95 beta=46.95 gamma=90.00
Closest atoms and distances in Å follow each position.
Element x y z (fractional)
1 Pd 0.5000 0.5000 0.0000  2 W 2.47
2 Rb 0.3001 0.6250 0.2500  2 Pd 3.42
3 W 0.0000 0.0000 0.0000  2 Pd 2.47
4 Pd 0.2500 0.7500 0.5000  2 W 2.47
5 Rb 0.4499 0.1250 0.2500  2 Pd 3.42
6 Rb 0.3750 0.5501 0.7500  2 Pd 3.42
7 W 0.7500 0.2500 0.5000  2 Pd 2.47
8 Rb 0.8750 0.6999 0.7500  2 Pd 3.42

---

In order of decreasing stability: arrangement Q, arrangement P.

---

Arrangement P

Computed, not measured: a relaxed Rb2YPd crystal at the PBE level of DFT.

Unit cell a=6.0054 b=6.0054 c=6.0054 alpha=60.00 beta=60.00 gamma=60.00
Closest atoms and distances in Å follow each position.
Element x y z (fractional)
1 Rb 0.7500 0.7500 0.7500  4 Pd 3.68, 4 Y 3.68
2 Y 0.0000 0.0000 0.0000  8 Rb 3.68
3 Pd 0.5000 0.5000 0.5000  8 Rb 3.68
4 Rb 0.2500 0.2500 0.2500  4 Pd 3.68, 4 Y 3.68

---

Arrangement Q

Computed, not measured: a relaxed Rb2YPd crystal at the PBE level of DFT.

Unit cell a=12.9655 b=12.9655 c=9.5400 alpha=47.19 beta=47.19 gamma=90.00
Closest atoms and distances in Å follow each position.
Element x y z (fractional)
1 Y 0.2500 0.7500 0.5000  2 Pd 2.64
2 Rb 0.9799 0.6250 0.2500  2 Pd 3.58
3 Rb 0.7701 0.1250 0.2500  2 Pd 3.58
4 Pd 0.0000 0.0000 0.0000  2 Y 2.64
5 Rb 0.3750 0.2299 0.7500  2 Pd 3.58
6 Y 0.5000 0.5000 0.0000  2 Pd 2.64
7 Rb 0.8750 0.0201 0.7500  2 Pd 3.58
8 Pd 0.7500 0.2500 0.5000  2 Y 2.64

---

In order of decreasing stability: arrangement Q, arrangement P.

---

Arrangement P

Computed, not measured: a relaxed RbY3Pd crystal at the PBE level of DFT.

Unit cell a=5.6492 b=5.6492 c=5.6492 alpha=90.00 beta=90.00 gamma=90.00
Closest atoms and distances in Å follow each position.
Element x y z (fractional)
1 Pd 0.0000 0.0000 0.0000  6 Y 2.82
2 Rb 0.5000 0.5000 0.5000  12 Y 3.99
3 Y 0.0000 0.5000 0.0000  2 Pd 2.82
4 Y 0.0000 0.0000 0.5000  2 Pd 2.82
5 Y 0.5000 0.0000 0.0000  2 Pd 2.82

---

Arrangement Q

Computed, not measured: a relaxed RbY3Pd crystal at the PBE level of DFT.

Unit cell a=5.3154 b=5.3154 c=5.3154 alpha=90.00 beta=90.00 gamma=90.00
Closest atoms and distances in Å follow each position.
Element x y z (fractional)
1 Rb 0.0000 0.0000 0.0000  6 Y 2.66
2 Y 0.5000 0.0000 0.0000  2 Rb 2.66
3 Pd 0.5000 0.5000 0.5000  12 Y 3.76
4 Y 0.0000 0.0000 0.5000  2 Rb 2.66
5 Y 0.0000 0.5000 0.0000  2 Rb 2.66

---

In order of decreasing stability: arrangement P, arrangement Q.

---

Arrangement P

Computed, not measured: a relaxed RbZnPd3 crystal at the PBE level of DFT.

Unit cell a=4.8476 b=4.8476 c=4.8476 alpha=90.00 beta=90.00 gamma=90.00
Closest atoms and distances in Å follow each position.
Element x y z (fractional)
1 Zn 0.0000 0.0000 0.0000  6 Pd 2.42
2 Rb 0.5000 0.5000 0.5000  12 Pd 3.43
3 Pd 0.5000 0.0000 0.0000  2 Zn 2.42
4 Pd 0.0000 0.0000 0.5000  2 Zn 2.42
5 Pd 0.0000 0.5000 0.0000  2 Zn 2.42

---

Arrangement Q

Computed, not measured: a relaxed RbZnPd3 crystal at the PBE level of DFT.

Unit cell a=5.1765 b=5.1765 c=5.1765 alpha=90.00 beta=90.00 gamma=90.00
Closest atoms and distances in Å follow each position.
Element x y z (fractional)
1 Pd 0.0000 0.5000 0.0000  2 Rb 2.59
2 Pd 0.0000 0.0000 0.5000  2 Rb 2.59
3 Zn 0.5000 0.5000 0.5000  12 Pd 3.66
4 Rb 0.0000 0.0000 0.0000  6 Pd 2.59
5 Pd 0.5000 0.0000 0.0000  2 Rb 2.59

---

In order of decreasing stability: arrangement P, arrangement Q.

---

Arrangement P

Computed, not measured: a relaxed RbZr2Pd crystal at the PBE level of DFT.

Unit cell a=5.5296 b=5.5296 c=10.1589 alpha=74.21 beta=74.21 gamma=90.00
Closest atoms and distances in Å follow each position.
Element x y z (fractional)
1 Rb 0.2500 0.7500 0.5000  8 Zr 3.88, 4 Pd 3.91
2 Zr 0.8752 0.6250 0.2500  2 Pd 2.72, 2 Zr 2.76
3 Zr 0.3750 0.1252 0.7500  2 Pd 2.72, 2 Zr 2.76
4 Zr 0.8750 0.1248 0.7500  2 Pd 2.72, 2 Zr 2.76
5 Rb 0.5000 0.5000 0.0000  8 Zr 3.88, 4 Pd 3.91
6 Zr 0.8748 0.1250 0.2500  2 Pd 2.72, 2 Zr 2.76
7 Pd 0.7500 0.2500 0.5000  4 Zr 2.72
8 Pd 0.0000 0.0000 0.0000  4 Zr 2.72

---

Arrangement Q

Computed, not measured: a relaxed RbZr2Pd crystal at the PBE level of DFT.

Unit cell a=5.0072 b=5.0072 c=5.0072 alpha=60.00 beta=60.00 gamma=60.00
Closest atoms and distances in Å follow each position.
Element x y z (fractional)
1 Zr 0.7500 0.7500 0.7500  4 Pd 3.07, 4 Rb 3.07
2 Pd 0.5000 0.5000 0.5000  8 Zr 3.07
3 Rb 0.0000 0.0000 0.0000  8 Zr 3.07
4 Zr 0.2500 0.2500 0.2500  4 Pd 3.07, 4 Rb 3.07

---

In order of decreasing stability: arrangement Q, arrangement P.

---

Arrangement P

Computed, not measured: a relaxed Rb2ZrPd2 crystal at the PBE level of DFT.

Unit cell a=5.4705 b=5.4705 c=6.3066 alpha=64.30 beta=64.30 gamma=90.00
Closest atoms and distances in Å follow each position.
Element x y z (fractional)
1 Zr 0.0000 0.0000 0.0000  2 Rb 3.53, 8 Pd 3.70
2 Pd 0.2500 0.7500 0.5000  4 Rb 2.93
3 Pd 0.7500 0.2500 0.5000  4 Rb 2.93
4 Rb 0.6456 0.6456 0.7088  1 Rb 2.90, 4 Pd 2.93
5 Rb 0.3544 0.3544 0.2912  1 Rb 2.90, 4 Pd 2.93

---

Arrangement Q

Computed, not measured: a relaxed Rb2ZrPd2 crystal at the PBE level of DFT.

Unit cell a=9.3728 b=9.3728 c=3.0254 alpha=90.00 beta=90.00 gamma=90.00
Closest atoms and distances in Å follow each position.
Element x y z (fractional)
1 Rb 0.1188 0.3812 0.0000  6 Pd 2.99-3.30, 3 Rb 3.03-3.15
2 Pd 0.1866 0.6866 0.5000  6 Rb 2.99-3.30, 2 Pd 3.03
3 Pd 0.6866 0.8134 0.5000  6 Rb 2.99-3.30, 2 Pd 3.03
4 Rb 0.3812 0.8812 0.0000  6 Pd 2.99-3.30, 3 Rb 3.03-3.15
5 Pd 0.3134 0.1866 0.5000  6 Rb 2.99-3.30, 2 Pd 3.03
6 Rb 0.6188 0.1188 0.0000  6 Pd 2.99-3.30, 3 Rb 3.03-3.15
7 Rb 0.8812 0.6188 0.0000  6 Pd 2.99-3.30, 3 Rb 3.03-3.15
8 Zr 0.0000 0.0000 0.0000  2 Zr 3.03
9 Pd 0.8134 0.3134 0.5000  6 Rb 2.99-3.30, 2 Pd 3.03
10 Zr 0.5000 0.5000 0.0000  2 Zr 3.03

---

In order of decreasing stability: arrangement Q, arrangement P.